1.
Ag2BF6: optimized geometry, PBE-GGA.

Results
Density, g cm⁻³: 3.997
Offset from the most stable computed form, meV per atom: 0
Uncorrected formation energy, eV per atom: -1.903
Energy, eV/atom: -4.5260

Cell lengths 6.8724, 7.8069, 5.2741 Å; angles 89.34, 90.18, 90.82 degrees
Each line ends with the local moment (μB).
Sites, in units of the cell vectors:
1 F 0.2294 0.4996 0.4737  0.01
2 F 0.7288 0.0016 0.0295  0.01
3 F 0.3332 0.1435 0.7530  0.16
4 F 0.0862 0.2765 0.2486  0.00
5 F 0.2356 0.5029 0.0311  0.01
6 F 0.4466 0.9489 0.2526  0.01
7 F 0.7308 0.0005 0.4719  0.01
8 F 0.5854 0.2233 0.2486  0.00
9 F 0.9498 0.5483 0.2444  0.01
10 F 0.6086 0.6454 0.7544  0.15
11 F 0.1055 0.8561 0.7456  0.15
12 F 0.8316 0.3544 0.7461  0.15
13 B 0.1237 0.4526 0.2493  0.00
14 B 0.6215 0.0479 0.2505  0.00
15 Ag 0.9984 0.1197 0.7452  0.33
16 Ag 0.4980 0.3813 0.7572  0.34
17 Ag 0.9443 0.6181 0.7444  0.34
18 Ag 0.4428 0.8795 0.7540  0.32

2.
AgBF4: optimized geometry, PBE-GGA.

Results
Density, g cm⁻³: 4.180
Offset from the most stable computed form, meV per atom: 0
Uncorrected formation energy, eV per atom: -2.293
Energy, eV/atom: -5.1285

Cell lengths 5.3880, 7.0873, 8.1017 Å; angles 90.00, 90.00, 90.00 degrees
Each line ends with the local moment (μB).
Sites, in units of the cell vectors:
1 F 0.0341 0.6993 0.5680  0.01
2 F 0.9659 0.1993 0.9320  0.01
3 F 0.5341 0.3007 0.4320  0.01
4 F 0.5341 0.1993 0.9320  0.01
5 F 0.4659 0.8007 0.0680  0.01
6 F 0.7500 0.4404 0.8037  0.00
7 F 0.0341 0.8007 0.0680  0.01
8 F 0.2500 0.5836 0.9100  0.00
9 F 0.9659 0.3007 0.4320  0.01
10 F 0.2500 0.9404 0.6963  0.00
11 F 0.2500 0.5596 0.1963  0.00
12 F 0.7500 0.4164 0.0900  0.00
13 F 0.2500 0.9164 0.4100  0.00
14 F 0.7500 0.0836 0.5900  0.00
15 F 0.7500 0.0596 0.3037  0.00
16 F 0.4659 0.6993 0.5680  0.01
17 Ag 0.2500 0.1809 0.1849  0.10
18 Ag 0.7500 0.8191 0.8151  0.10
19 Ag 0.2500 0.3191 0.6849  0.10
20 Ag 0.7500 0.6809 0.3151  0.10
21 B 0.7500 0.3170 0.9403  0.00
22 B 0.2500 0.6830 0.0597  0.00
23 B 0.2500 0.8170 0.5597  0.00
24 B 0.7500 0.1830 0.4403  0.00

3.
Ag5BF8: optimized geometry, PBE-GGA.

Results
Density, g cm⁻³: 5.240
Uncorrected formation energy, eV per atom: -1.472
Energy, eV/atom: -4.0362

Cell lengths 6.6687, 6.6687, 6.6687 Å; angles 98.80, 115.05, 115.05 degrees
Sites, in units of the cell vectors:
1 B 0.5000 0.7500 0.2500
2 Ag 0.1637 0.9770 0.4049
3 Ag 0.4279 0.1867 0.0230
4 Ag 0.0000 0.5000 0.5000
5 Ag 0.8363 0.2413 0.8133
6 Ag 0.5721 0.5951 0.7587
7 F 0.6691 0.8211 0.1638
8 F 0.8489 0.5094 0.1072
9 F 0.4022 0.8928 0.7416
10 F 0.6572 0.8362 0.5053
11 F 0.5978 0.3395 0.4906
12 F 0.3309 0.4947 0.1520
13 F 0.1511 0.2584 0.6605
14 F 0.3428 0.8480 0.1789

4.
AgBF4: optimized geometry, PBE-GGA.

Results
Density, g cm⁻³: 4.168
Offset from the most stable computed form, meV per atom: 516
Uncorrected formation energy, eV per atom: -1.777
Energy, eV/atom: -4.6126

Cell lengths 2.9705, 4.9370, 6.6054 Å; angles 126.81, 90.00, 90.00 degrees
Sites, in units of the cell vectors:
1 F 0.5000 0.8846 0.1304
2 F 0.0000 0.6833 0.7870
3 F 0.0000 0.3167 0.2130
4 F 0.5000 0.1154 0.8696
5 B 0.0000 0.0000 0.0000
6 Ag 0.5000 0.0000 0.5000